VHg, relaxed, DFT GGA-PBE; calculated formation energy = 4.7 kcal/mol of atoms; SG = No. 87; uncorrected energy = -4.51 eV per atom
1.0
9.9582 0.0000 0.0000
0.0000 9.9582 0.0000
0.0000 0.0000 3.0046
V Hg
8 8
direct
0.4701 0.1367 0.0000
0.5299 0.8633 0.0000
0.8633 0.4701 0.0000
0.1367 0.5299 0.0000
0.9701 0.6367 0.5000
0.0299 0.3633 0.5000
0.3633 0.9701 0.5000
0.6367 0.0299 0.5000
0.1356 0.8353 0.0000
0.8644 0.1647 0.0000
0.1647 0.1356 0.0000
0.8353 0.8644 0.0000
0.6356 0.3353 0.5000
0.3644 0.6647 0.5000
0.6647 0.6356 0.5000
0.3353 0.3644 0.5000

=====

TaGePS2, relaxed, DFT GGA-PBE; formation energy from raw total energies = 0.882 eV per atom; SG = No. 123; uncorrected energy = -5.15 eV per atom
1.0
-0.2948 4.4870 0.6103
-0.9386 0.5377 -4.4071
-4.5161 -0.4206 0.9105
P Ge S Ta
1 1 2 1
direct
0.0000 0.0000 0.5000
0.0000 0.0000 0.0000
0.0000 0.5000 0.0000
0.5000 0.0000 0.0000
0.5000 0.5000 0.5000

=====

LiCuW4, relaxed, DFT GGA-PBE; calculated formation energy = 18.7 kcal/mol of atoms; SG = No. 216; uncorrected energy = -8.83 eV per atom
1.0
0.0000 3.7242 3.7242
3.7242 0.0000 3.7242
3.7242 3.7242 0.0000
Li Cu W
1 1 4
direct
0.0000 0.0000 0.0000
0.7500 0.7500 0.7500
0.8765 0.3745 0.3745
0.3745 0.3745 0.8765
0.3745 0.8765 0.3745
0.3745 0.3745 0.3745

=====

ReMo2, relaxed, DFT GGA-PBE; calculated formation energy = 26.0 kcal/mol of atoms; SG = No. 205; uncorrected energy = -10.24 eV per atom
1.0
-4.0926 -4.2944 -1.2616
1.1518 -2.6624 5.3261
-4.3252 3.3545 2.6121
Re Mo
4 8
direct
0.0000 0.0000 0.0000
0.0000 0.5000 0.5000
0.5000 0.0000 0.5000
0.5000 0.5000 0.0000
0.1269 0.6269 0.8731
0.1269 0.8731 0.3731
0.3731 0.1269 0.8731
0.3731 0.3731 0.3731
0.6269 0.6269 0.6269
0.6269 0.8731 0.1269
0.8731 0.1269 0.6269
0.8731 0.3731 0.1269

=====

K2PtAu, relaxed, DFT GGA-PBE; calculated formation energy = -0.6 kcal/mol of atoms; SG = No. 122; uncorrected energy = -2.91 eV per atom
1.0
-4.5035 -2.4761 -10.5814
10.7297 0.8033 -4.7546
3.4977 -3.3966 -7.2326
K Au Pt
4 2 2
direct
0.4193 0.1250 0.2500
0.3307 0.6250 0.2500
0.3750 0.5807 0.7500
0.8750 0.6693 0.7500
0.0000 0.0000 0.0000
0.7500 0.2500 0.5000
0.5000 0.5000 0.0000
0.2500 0.7500 0.5000

=====

MgFe2Ni, relaxed, DFT GGA-PBE; calculated formation energy = 5.5 kcal/mol of atoms; SG = No. 166; uncorrected energy = -5.84 eV per atom
1.0
8.7139 0.0041 0.0024
8.3140 2.6094 0.0024
8.3140 1.2761 2.2761
Fe Mg Ni
2 1 1
direct
0.0058 0.0058 0.0058
0.4942 0.4942 0.4942
0.2500 0.2500 0.2500
0.7500 0.7500 0.7500

=====

ErTmTh, relaxed, DFT GGA-PBE; calculated formation energy = 0.4 kcal/mol of atoms; SG = No. 156; uncorrected energy = -5.47 eV per atom
1.0
-1.9349 2.9502 -0.3784
0.2510 -2.3129 -2.6792
-6.8843 -4.1395 2.9288
Tm Th Er
1 1 1
direct
0.6667 0.3333 0.3292
0.0000 0.0000 0.0005
0.3333 0.6667 0.6704

=====

GeSbI2Br, relaxed, DFT GGA-PBE; formation energy from raw total energies = 0.845 eV per atom; SG = No. 123; uncorrected energy = -1.86 eV per atom
1.0
5.6985 0.0000 0.0000
0.0000 5.6985 0.0000
0.0000 0.0000 5.8800
I Sb Ge Br
2 1 1 1
direct
0.0000 0.5000 0.0000
0.5000 0.0000 0.0000
0.0000 0.0000 0.5000
0.5000 0.5000 0.5000
0.0000 0.0000 0.0000

=====

TaSeBr2N, relaxed, DFT GGA-PBE; formation energy from raw total energies = 1.435 eV per atom; SG = No. 123; uncorrected energy = -3.97 eV per atom
1.0
-1.4661 -2.3524 -3.4976
-3.4035 -1.5239 2.4516
-2.5158 3.5136 -1.3086
N Se Br Ta
1 1 2 1
direct
0.0000 0.0000 0.0000
0.0000 0.0000 0.5000
0.0000 0.5000 0.0000
0.5000 0.0000 0.0000
0.5000 0.5000 0.5000

=====

CuC, relaxed, DFT GGA-PBE; calculated formation energy = 38.4 kcal/mol of atoms; SG = No. 186; uncorrected energy = -5.00 eV per atom
1.0
-1.8280 -2.6854 0.2626
3.2229 -0.1718 0.4533
-0.6236 0.8911 4.7715
Cu C
2 2
direct
0.3333 0.6667 0.7396
0.6667 0.3333 0.2396
0.3333 0.6667 0.3424
0.6667 0.3333 0.8424

=====

LiAg4, relaxed, DFT GGA-PBE; calculated formation energy = 9.0 kcal/mol of atoms; SG = No. 221; uncorrected energy = -2.27 eV per atom
1.0
-4.0952 -1.3034 1.3650
1.4442 -0.0645 4.2712
-1.2150 4.3163 0.4760
Ag Li
4 1
direct
0.0000 0.0000 0.0000
0.5000 0.0000 0.5000
0.0000 0.5000 0.5000
0.5000 0.5000 0.0000
0.5000 0.5000 0.5000

=====

NaLaTi2Br, relaxed, DFT GGA-PBE; formation energy from raw total energies = 0.389 eV per atom; SG = No. 123; uncorrected energy = -4.35 eV per atom
1.0
-4.2608 0.1280 2.4429
0.8663 -4.9157 1.7685
2.3104 1.8226 3.9343
Na Ti Br La
1 2 1 1
direct
0.0000 0.5000 0.0000
0.0000 0.0000 0.5000
0.5000 0.0000 0.0000
0.0000 0.0000 0.0000
0.5000 0.5000 0.5000